First-principles (PBE) data for a relaxed YGe2BiO8 crystal, as listed in Alexandria.

Crystal system: tetragonal
Space-group type: I-4m2
E_form (uncorrected): -1757 meV per atom

a = 5.940 Å, b = 5.940 Å, c = 5.940 Å
α = 106.92°, β = 106.92°, γ = 114.70°
Positions (direct):
Y 0.000 0.000 0.000
Ge 0.500 0.500 0.000
Ge 0.750 0.250 0.500
Bi 0.250 0.750 0.500
O 0.311 0.127 0.816
O 0.311 0.495 0.184
O 0.377 0.057 0.320
O 0.505 0.689 0.816
O 0.736 0.057 0.680
O 0.873 0.689 0.184
O 0.943 0.264 0.320
O 0.943 0.623 0.680